CrGeTe2 | PBE | optimized geometry

```
8
Lattice="6.366 0.000 0.000 0.000 6.366 0.000 3.183 3.183 6.495" Properties=species:S:1:pos:R:3 pbc="T T T"
Cr 3.183 3.183 0.000
Cr 3.183 6.366 3.248
Ge 0.000 0.000 0.000
Ge 6.366 3.183 3.248
Te 4.627 1.591 1.624
Te 1.738 4.774 1.624
Te 4.774 4.921 4.871
Te 7.957 7.810 4.871
```

## Properties
Formation energy from raw total energies, eV/atom: 0.135